This record from the Alexandria database describes BSbOs2 after structural relaxation. The functional is PBE.

Structure (extended XYZ):
```
4
Lattice="0.000 3.044 3.044 3.044 0.000 3.044 3.044 3.044 0.000" Properties=species:S:1:pos:R:3 pbc="T T T"
B 0.000 0.000 0.000
Sb 3.044 3.044 3.044
Os 1.522 1.522 1.522
Os 4.566 4.566 4.566
```

Results
Calculated total energy, eV/cell: -29.87
ΔE to the lowest computed polymorph, kJ per mole of atoms: 21.1
Symmetry: Fm-3m, No. 225



This record from the Alexandria database describes BSbOs2 after structural relaxation. The functional is PBE.

Structure (extended XYZ):
```
8
Lattice="-2.310 2.310 6.648 2.310 -2.310 6.648 2.310 2.310 -6.648" Properties=species:S:1:pos:R:3 pbc="T T T"
B 0.000 0.000 0.000
B 0.000 2.310 3.324
Sb 2.310 0.000 3.324
Sb 0.000 0.000 6.648
Os 0.567 1.155 1.662
Os -1.155 1.743 4.986
Os -0.567 3.465 1.662
Os 1.155 2.877 4.986
```

Results
Calculated total energy, eV/cell: -61.49
ΔE to the lowest computed polymorph, kJ per mole of atoms: 0.0
Symmetry: I-42d, No. 122



This record from the Alexandria database describes BSbOs3 after structural relaxation. The functional is PBE.

Structure (extended XYZ):
```
5
Lattice="4.865 0.000 0.000 0.000 4.865 0.000 0.000 0.000 4.865" Properties=species:S:1:pos:R:3 pbc="T T T"
B 0.000 0.000 0.000
Sb 2.432 2.432 2.432
Os 0.000 2.432 2.432
Os 2.432 0.000 2.432
Os 2.432 2.432 0.000
```

Results
Calculated total energy, eV/cell: -27.41
ΔE to the lowest computed polymorph, kJ per mole of atoms: 282.0
Symmetry: Pm-3m, No. 221



This record from the Alexandria database describes BSbOs3 after structural relaxation. The functional is PBE.

Structure (extended XYZ):
```
5
Lattice="4.164 0.000 0.000 0.000 4.164 0.000 0.000 0.000 4.164" Properties=species:S:1:pos:R:3 pbc="T T T"
B 0.000 0.000 0.000
Sb 2.082 2.082 2.082
Os 0.000 0.000 2.082
Os 0.000 2.082 0.000
Os 2.082 0.000 0.000
```

Results
Calculated total energy, eV/cell: -42.03
ΔE to the lowest computed polymorph, kJ per mole of atoms: 0.0
Symmetry: Pm-3m, No. 221



This record from the Alexandria database describes B2Sb2Os after structural relaxation. The functional is PBE.

Structure (extended XYZ):
```
10
Lattice="7.017 0.000 0.000 0.000 7.017 0.000 0.000 0.000 3.275" Properties=species:S:1:pos:R:3 pbc="T T T"
B 1.228 2.280 0.000
B 2.280 5.789 0.000
B 4.737 1.228 0.000
B 5.789 4.737 0.000
Sb 1.043 4.551 1.638
Sb 2.465 1.043 1.638
Sb 4.551 5.974 1.638
Sb 5.974 2.465 1.638
Os 0.000 0.000 1.638
Os 3.508 3.508 1.638
```

Results
Calculated total energy, eV/cell: -49.70
ΔE to the lowest computed polymorph, kJ per mole of atoms: 50.5
Symmetry: P4/mbm, No. 127



This record from the Alexandria database describes BSb2Os after structural relaxation. The functional is PBE.

Structure (extended XYZ):
```
8
Lattice="-2.891 2.891 5.258 2.891 -2.891 5.258 2.891 2.891 -5.258" Properties=species:S:1:pos:R:3 pbc="T T T"
B 0.000 0.000 0.000
B 0.000 2.891 2.629
Sb 4.336 1.211 -1.314
Sb 1.211 1.445 1.314
Sb -1.445 1.679 3.943
Sb 1.679 1.445 6.572
Os 2.891 0.000 2.629
Os 0.000 0.000 5.258
```

Results
Calculated total energy, eV/cell: -46.10
Symmetry: I-42d, No. 122



Number 1: uncorrected formation energy 0.85 eV/atom. Number 2: uncorrected formation energy 0.63 eV/atom. Number 3: uncorrected formation energy 3.41 eV/atom. Number 4: uncorrected formation energy 0.49 eV/atom. Number 5: uncorrected formation energy 1.60 eV/atom. Number 6: uncorrected formation energy 0.77 eV/atom.